Computed, not measured: a relaxed structure of KAg2MoOs at the PBE-GGA level of DFT.

CIF file:
```
data_KAg2MoOs
_chemical_formula_sum 'K1 Ag2 Mo1 Os1'
_cell_length_a 5.1433
_cell_length_b 5.1433
_cell_length_c 5.2300
_cell_angle_alpha 90.00
_cell_angle_beta 90.00
_cell_angle_gamma 90.00
_space_group_name_H-M_alt 'P 4/m m m'
_space_group_IT_number 123
_space_group_name_Hall '-P 4 2'
loop_
_atom_site_label
_atom_site_type_symbol
_atom_site_fract_x
_atom_site_fract_y
_atom_site_fract_z
K1 K 0.0000 0.0000 0.0000
Ag1 Ag 0.0000 0.5000 0.5000
Mo1 Mo 0.5000 0.5000 0.0000
Os1 Os 0.0000 0.0000 0.5000
```

formation energy from the elements = 2.18 eV/atom
total energy = -17.97 eV/cell